19
Lattice="-1.373 -3.460 4.562 2.160 -3.324 -5.671 6.199 2.172 3.514" Properties=species:S:1:pos:R:3 comment="Pm5Co2O12 | Alexandria | PBE with a Hubbard U | relaxed" final_energy_ev_per_atom=-7.427 magnetic_moment_mub_per_cell=3.0 pbc="T T T"
Pm 4.909 -1.714 0.178
Pm 1.913 -2.747 -1.508
Pm 3.100 1.086 1.757
Pm 5.073 -1.865 3.913
Pm 2.077 -2.898 2.227
Co -1.039 -2.619 3.453
Co -0.334 -0.841 1.109
O 1.027 0.350 0.575
O 7.079 -0.638 -0.200
O 6.412 -2.320 2.018
O 3.978 -1.720 -2.011
O 3.290 -3.454 0.275
O 4.478 0.074 5.204
O 2.508 -4.686 -2.799
O 3.008 -2.892 4.416
O 3.696 -1.158 2.130
O -0.093 -3.974 2.605
O 0.574 -2.292 0.387
O 5.959 -4.962 1.830